The following is a PBE-GGA calculation of crystalline NaSnMoH at its relaxed geometry, from the Alexandria database.

Results
E above lowest polymorph = 0.037 eV/atom
Space group = Pm, No. 6
Crystal system = monoclinic

a b c (Å): 4.7222 2.9215 5.9362
angles (deg): 90.00 101.09 90.00
Positions (direct):
H: 0.2426 0.0000 0.0337
Na: 0.4558 0.5000 0.8374
Mo: 0.3968 0.0000 0.3221
Sn: 0.9046 0.5000 0.3527

The following is a PBE-GGA calculation of crystalline Be2GaPt at its relaxed geometry, from the Alexandria database.

Results
Calculated total energy = -4.44 eV/atom
Space group = P4/mmm, No. 123
Crystal system = tetragonal

a b c (Å): 3.2901 3.7868 3.7868
angles (deg): 90.00 90.00 90.00
Positions (direct):
Be: 0.0000 0.5000 0.0000
Be: 0.0000 0.0000 0.5000
Ga: 0.5000 0.0000 0.0000
Pt: 0.5000 0.5000 0.5000

The following is a PBE-GGA calculation of crystalline KAlIr at its relaxed geometry, from the Alexandria database.

Results
E above lowest polymorph = 0.799 eV/atom
Space group = F-43m, No. 216
Crystal system = cubic

a b c (Å): 4.6077 4.6077 4.6077
angles (deg): 60.00 60.00 60.00
Positions (direct):
Ir: 0.7500 0.7500 0.7500
Al: 0.5000 0.5000 0.5000
K: 0.0000 0.0000 0.0000

The following is a PBE-GGA calculation of crystalline Ac2NdPuSe4 at its relaxed geometry, from the Alexandria database.

Results
Raw formation energy = -1.772 eV per atom
Space group = P2/m, No. 10
Crystal system = monoclinic

a b c (Å): 4.3106 7.4969 7.5323
angles (deg): 109.22 90.00 90.00
Last column: magnetic moment on the atom in μB.
Positions (direct):
Pu: 0.5000 0.5000 0.0000  5.49
Ac: 0.5000 0.0000 0.5000  0.00
Ac: 0.0000 0.5000 0.5000  0.03
Nd: 0.0000 0.0000 0.0000  0.03
Se: 0.5000 0.2474 0.2330  -0.01
Se: 0.5000 0.7526 0.7670  -0.01
Se: 0.0000 0.2597 0.7694  -0.03
Se: 0.0000 0.7403 0.2306  -0.03

The following is a PBE-GGA calculation of crystalline MoRhSe2 at its relaxed geometry, from the Alexandria database.

Results
E above lowest polymorph = 0.580 eV/atom
Raw formation energy = 0.405 eV per atom
Space group = Immm, No. 71
Crystal system = orthorhombic

a b c (Å): 5.2045 5.2045 5.2045
angles (deg): 146.06 115.98 74.47
Positions (direct):
Se: 0.5042 0.5042 0.0000
Se: 0.9958 0.9958 0.0000
Mo: 0.7500 0.2500 0.5000
Rh: 0.2500 0.7500 0.5000

The following is a PBE-GGA calculation of crystalline Na4Zr at its relaxed geometry, from the Alexandria database.

Results
Calculated total energy = -1.74 eV/atom
Space group = Pm-3m, No. 221
Crystal system = cubic

a b c (Å): 6.2244 6.2244 6.2244
angles (deg): 90.00 90.00 90.00
Last column: magnetic moment on the atom in μB.
Positions (direct):
Zr: 0.5000 0.5000 0.5000  1.84
Na: 0.5000 0.0000 0.5000  0.04
Na: 0.0000 0.5000 0.5000  0.04
Na: 0.5000 0.5000 0.0000  0.04
Na: 0.0000 0.0000 0.0000  -0.01

Calculated M_tot (μB per cell), listed in the same order as above: 0.00; 0.00; 0.00; 5.92; 0.00; 3.96